P) Here is a relaxed BeP2CO crystal from Alexandria via LeMat-Bulk. Energies are from PBE.

a b c (Å): 4.242 4.242 3.049
angles (deg): 90.00 90.00 90.00
Sites, in units of the cell vectors:
1 P 0.000 0.500 0.000
2 P 0.500 0.000 0.000
3 C 0.000 0.000 0.000
4 O 0.000 0.000 0.500
5 Be 0.500 0.500 0.500

Results
Density of states at the Fermi level ... 0.34 states/eV/atom
Total moment ... 0.0 μB/f.u.

***

Q) Here is a relaxed BeP2CO crystal from Alexandria via LeMat-Bulk. Energies are from PBE.

a b c (Å): 4.573 4.573 2.880
angles (deg): 90.00 90.00 90.00
Sites, in units of the cell vectors:
1 P 0.000 0.500 0.000
2 P 0.500 0.000 0.000
3 C 0.500 0.500 0.500
4 O 0.000 0.000 0.500
5 Be 0.000 0.000 0.000

Results
Density of states at the Fermi level ... 0.30 states/eV/atom
Total moment ... 0.0 μB/f.u.

***

Out of the structures above, which one is the most stable? Solution: Q).